Below is a geometry-optimized Sr3Ca5Mn8O23 structure, with properties calculated at the PBEsol level.

Output
For the formation energy without anion corrections, the calculation gives -2.285 eV/atom. The symmetry is Pm, No. 6. The final energy is -7.798 eV per atom.

The structure in extended XYZ format:
```
39
Lattice="7.4966 0.0000 0.0000 0.0000 7.5469 0.0000 -0.0033 0.0000 7.5082" Properties=species:S:1:pos:R:3 pbc="T T T"
Sr 0.0000 0.0000 0.0000
Sr 0.0898 3.7734 7.4070
Sr 3.7480 3.7734 7.4077
Ca 7.4936 0.0000 3.7278
Ca 0.1881 3.7734 3.5217
Ca 3.5457 0.0000 3.6923
Ca 3.6728 0.0000 0.1261
Ca 3.8864 3.7734 3.5473
Mn 1.9082 1.8801 1.8349
Mn 1.9082 5.6668 1.8349
Mn 1.9140 1.8928 5.5402
Mn 1.9140 5.6541 5.5402
Mn 5.6069 1.7717 5.5046
Mn 5.6069 5.7752 5.5046
Mn 5.6551 1.8961 1.8578
Mn 5.6551 5.6508 1.8578
O 0.0346 2.0772 1.6754
O 0.0346 5.4696 1.6754
O 1.6621 3.7734 5.3665
O 1.6751 1.6452 3.6981
O 1.6751 5.9016 3.6981
O 1.7912 0.0000 1.6727
O 2.0667 1.9962 7.4475
O 2.0667 5.5506 7.4475
O 2.0986 3.7734 2.0265
O 2.2054 0.0000 5.7261
O 3.7894 1.6768 2.0567
O 3.7894 5.8701 2.0567
O 3.7952 2.2161 5.3173
O 3.7952 5.3308 5.3173
O 5.4267 0.0000 5.1280
O 5.4232 1.7279 7.3940
O 5.4232 5.8190 7.3940
O 5.4661 3.7734 1.6113
O 5.8594 2.2800 3.7209
O 5.8594 5.2669 3.7209
O 5.8719 0.0000 2.0564
O 7.4785 1.7657 5.7229
O 7.4785 5.7811 5.7229
```

Below is a geometry-optimized AlSiAs2 structure, with properties calculated at the PBEsol level.

Output
For the formation energy without anion corrections, the calculation gives 0.333 eV/atom. The symmetry is F-43m, No. 216. The final energy is -4.680 eV per atom. The relative energy among the computed polymorphs is 0.078 eV/atom.

The structure in extended XYZ format:
```
4
Lattice="0.0000 3.2472 3.2472 3.2472 0.0000 3.2472 3.2472 3.2472 0.0000" Properties=species:S:1:pos:R:3 pbc="T T T"
Al 0.0000 0.0000 0.0000
Si 4.8709 4.8709 4.8709
As 1.6236 1.6236 1.6236
As 3.2472 3.2472 3.2472
```

Below is a geometry-optimized Li3FeP2O8 structure, with properties calculated at the PBEsol level.

Output
For the formation energy without anion corrections, the calculation gives -2.061 eV/atom. The symmetry is R3, No. 146. The final energy is -6.949 eV per atom. The relative energy among the computed polymorphs is 0.076 eV/atom.

The structure in extended XYZ format:
```
42
Lattice="4.1334 2.3864 7.2081 -4.1334 2.3864 7.2081 0.0000 -4.7729 7.2081" Properties=species:S:1:pos:R:3 pbc="T T T"
Li 0.0000 0.0000 0.0000
Li -1.0207 -2.4452 8.8302
Li 0.0000 0.0000 2.6537
Li -2.6048 -0.2021 11.0823
Li -1.6073 2.1065 8.8302
Li 0.0000 0.0000 9.4306
Li 1.4774 -2.1548 11.0823
Li 2.6280 0.3387 8.8302
Li 1.1274 2.3568 11.0823
Fe 0.0000 0.0000 6.7969
Fe 0.0000 0.0000 13.0563
Fe 0.0000 0.0000 17.5407
P -1.2024 -2.6440 11.7675
P -2.3195 0.0876 15.2949
P -1.6886 2.3633 11.7675
P 1.0839 -2.0525 15.2949
P 2.8909 0.2807 11.7674
P 1.2356 1.9649 15.2949
O -0.7033 -1.4366 5.8129
O -1.4551 0.2092 8.0976
O -0.2507 -2.9548 10.5869
O -0.8925 1.3274 5.8129
O -2.8017 -1.3576 15.4283
O -2.4336 1.6945 10.5869
O -1.1300 -1.0873 11.9479
O 0.5464 -1.3648 8.0976
O 1.5958 0.1092 5.8129
O -1.5121 0.3716 14.0522
O 0.9087 1.1555 8.0976
O 0.4342 -1.4953 14.0522
O -0.3766 1.5222 11.9479
O -1.5479 0.6202 16.5636
O -1.2413 -0.9545 18.6485
O 0.2368 -1.6506 16.5636
O 1.5066 -0.4349 11.9479
O 1.0779 1.1237 14.0521
O 2.6843 1.2603 10.5868
O 2.5766 -1.7475 15.4283
O -0.2059 1.5523 18.6485
O 0.2251 3.1052 15.4283
O 1.4473 -0.5978 18.6485
O 1.3111 1.0304 16.5635
```

Below is a geometry-optimized ZrReTc3 structure, with properties calculated at the PBEsol level.

Output
The symmetry is Pm-3m, No. 221. The final energy is -9.990 eV per atom. For the formation energy, the calculation gives 1.254 eV/atom.

The structure in extended XYZ format:
```
5
Lattice="4.5992 0.0000 0.0000 0.0000 4.5992 0.0000 0.0000 0.0000 4.5992" Properties=species:S:1:pos:R:3 pbc="T T T"
Zr 0.0000 0.0000 0.0000
Re 2.2996 2.2996 2.2996
Tc 0.0000 2.2996 2.2996
Tc 2.2996 0.0000 2.2996
Tc 2.2996 2.2996 0.0000
```

Below is a geometry-optimized NiOs2 structure, with properties calculated at the PBEsol level.

Output
The symmetry is Immm, No. 71. The final energy is -10.128 eV per atom. The relative energy among the computed polymorphs is 0.000 eV/atom. For the formation energy, the calculation gives 0.069 eV/atom.

The structure in extended XYZ format:
```
3
Lattice="-1.3471 1.8337 3.9117 1.3471 -1.8337 3.9117 1.3471 1.8337 -3.9117" Properties=species:S:1:pos:R:3 pbc="T T T"
Ni 0.0000 0.0000 0.0000
Os 0.0000 0.0000 2.6010
Os 0.0000 0.0000 5.2223
```

Below is a geometry-optimized Dy5C2Br9 structure, with properties calculated at the PBEsol level.

Output
For the formation energy without anion corrections, the calculation gives -1.589 eV/atom. The symmetry is P2_1/c, No. 14. The final energy is -5.403 eV per atom.

The structure in extended XYZ format:
```
64
Lattice="9.9235 0.0000 0.0000 0.0000 16.2289 0.0000 -6.9656 0.0000 11.2472" Properties=species:S:1:pos:R:3 pbc="T T T"
Dy -1.7786 0.9151 2.9691
Dy -5.2614 7.1994 8.5927
Dy -4.9094 10.7580 8.1226
Dy -1.4266 13.5854 2.4989
Dy 1.3659 0.6606 0.3990
Dy -2.1169 7.4539 6.0226
Dy -1.7219 11.1497 6.2376
Dy 1.7609 13.1937 0.6140
Dy -2.0907 9.0601 9.1550
Dy 1.3921 15.2833 3.5313
Dy 1.5659 0.9456 7.7159
Dy 5.0487 7.1689 2.0923
Dy 1.1970 3.0352 10.6332
Dy 4.6798 5.0793 5.0096
Dy 5.0748 8.7751 5.2247
Dy 1.5920 15.5684 10.8483
Dy 4.3846 2.6436 8.7483
Dy 7.8674 5.4709 3.1247
Dy 8.2193 9.0295 2.6545
Dy 4.7365 15.3139 8.2781
C -3.9467 8.6078 7.5356
C -0.4639 15.7356 1.9120
C -3.0384 9.5542 6.9708
C 0.4444 14.7892 1.3472
C 2.5135 1.4397 9.9000
C 5.9963 6.6748 4.2764
C 3.4219 0.4934 9.3352
C 6.9047 7.6211 3.7116
Br -0.3640 3.2343 1.9285
Br -3.8468 4.8802 7.5521
Br -3.6457 1.1140 7.3255
Br -0.1629 7.0004 1.7018
Br -0.0110 11.2323 1.5752
Br -3.4938 13.1111 7.1988
Br -3.9173 2.8174 10.8977
Br -0.4345 5.2971 5.2741
Br -0.0843 9.2182 4.9762
Br -3.5671 15.1252 10.5998
Br -3.5088 11.0819 10.5790
Br -0.0260 13.2615 4.9554
Br -0.0352 0.9535 5.1790
Br -3.5180 7.1610 10.8026
Br 3.0132 1.0332 2.6731
Br -0.4696 7.0813 8.2967
Br -0.3095 2.9422 8.3748
Br 3.1733 5.1722 2.7512
Br -0.2154 11.0567 8.4961
Br 3.2674 13.2867 2.8725
Br 3.4276 9.1476 2.9505
Br -0.0552 15.1958 8.5742
Br 6.4759 9.0679 0.4446
Br 2.9931 15.2755 6.0682
Br 2.9839 2.9674 6.2918
Br 6.4667 5.1471 0.6682
Br 6.5250 1.1037 0.6474
Br 3.0422 7.0107 6.2710
Br 3.3924 10.9319 5.9731
Br 6.8752 13.4115 0.3495
Br 6.4517 3.1179 4.0484
Br 2.9689 4.9966 9.6720
Br 3.1209 9.2285 9.5454
Br 6.6037 15.1149 3.9218
Br 6.8047 11.3487 3.6952
Br 3.3219 12.9947 9.3188
```